First-principles (GGA-PBE) data for crystalline Ba2CuNiPb at its relaxed geometry, as listed in Alexandria via LeMat-Bulk.

Lattice parameters (Å, degrees): 6.1377 6.1377 4.4887 90.00 90.00 90.00
Fractional positions:
Ba: 0.0000 0.5000 0.0000
Ba: 0.5000 0.0000 0.0000
Cu: 0.0000 0.0000 0.0000
Ni: 0.0000 0.0000 0.5000
Pb: 0.5000 0.5000 0.5000

Values from the calculation:
- Energy relative to the lowest polymorph listed for this composition: 0 meV/atom
- Formation enthalpy at 0 K: 0.09 eV per atom
- Space-group type: P4/mmm, No. 123
- Raw total energy: -16.977 eV for the cell shown
- DOS at the Fermi energy: 4.42 states/eV/f.u.
- Calculated volume: 169 Å³/cell